Entry 1:
First-principles (GGA-PBE) data for an optimized crystal structure of Ta2BeHg, as listed in Alexandria.

Cell and atoms, written as POSCAR:
```
Ta2BeHg
1.0
2.875 0.002 0.000
-0.368 2.852 0.000
0.000 0.000 8.091
Ta Hg Be
2 1 1
Direct
0.000 0.000 0.003 Ta
0.500 0.500 0.287 Ta
0.500 0.500 0.712 Hg
0.000 0.000 0.497 Be
```

Crystal system: orthorhombic
Space-group type: Cmm2 (35)
Distance to the lowest polymorph of the same formula: 1.83 kcal/mol of atoms

=====

Entry 2:
First-principles (GGA-PBE) data for an optimized crystal structure of TaBeHg2, as listed in Alexandria.

Cell and atoms, written as POSCAR:
```
TaBeHg2
1.0
3.049 0.000 0.000
0.000 3.049 0.000
0.000 0.000 7.317
Ta Hg Be
1 2 1
Direct
0.500 0.500 0.250 Ta
0.000 0.000 0.963 Hg
0.000 0.000 0.537 Hg
0.500 0.500 0.750 Be
```

Crystal system: tetragonal
Space-group type: P4/mmm (123)

=====

Entry 3:
First-principles (GGA-PBE) data for an optimized crystal structure of Ta2BeHg, as listed in Alexandria.

Cell and atoms, written as POSCAR:
```
Ta2BeHg
1.0
-1.676 -2.893 -3.750
5.614 -1.197 2.564
0.221 -2.332 1.702
Ta Hg Be
2 1 1
Direct
0.000 0.000 0.000 Ta
0.000 0.500 0.500 Ta
0.500 0.000 0.500 Hg
0.500 0.500 0.000 Be
```

Crystal system: orthorhombic
Space-group type: Cmmm (65)
Distance to the lowest polymorph of the same formula: 4.73 kcal/mol of atoms

=====

Entry 4:
First-principles (GGA-PBE) data for an optimized crystal structure of Ta2BeHg, as listed in Alexandria.

Cell and atoms, written as POSCAR:
```
Ta2BeHg
1.0
-3.243 -1.854 -0.802
0.480 -2.181 3.100
-6.544 4.640 6.631
Ta Hg Be
4 2 2
Direct
0.875 0.868 0.750 Ta
0.618 0.125 0.250 Ta
0.375 0.382 0.750 Ta
0.132 0.625 0.250 Ta
0.000 0.000 0.000 Hg
0.750 0.250 0.500 Hg
0.250 0.750 0.500 Be
0.500 0.500 0.000 Be
```

Crystal system: tetragonal
Space-group type: I-42d (122)
Distance to the lowest polymorph of the same formula: 15.24 kcal/mol of atoms

=====

Entry 5:
First-principles (GGA-PBE) data for an optimized crystal structure of Ta2BeHg, as listed in Alexandria.

Cell and atoms, written as POSCAR:
```
Ta2BeHg
1.0
-1.171 -3.686 -0.235
2.662 -0.759 -1.354
3.621 -1.431 4.403
Ta Be Hg
2 1 1
Direct
0.500 0.300 0.279 Ta
0.000 0.926 0.016 Ta
0.000 0.705 0.471 Be
0.500 0.568 0.734 Hg
```

Crystal system: monoclinic
Space-group type: Pm (6)
Distance to the lowest polymorph of the same formula: 1.77 kcal/mol of atoms

=====

Entry 6:
First-principles (GGA-PBE) data for an optimized crystal structure of Ta3BeHg, as listed in Alexandria.

Cell and atoms, written as POSCAR:
```
Ta3BeHg
1.0
4.446 0.000 0.000
0.000 4.446 0.000
0.000 0.000 4.446
Be Ta Hg
1 3 1
Direct
0.000 0.000 0.000 Be
0.000 0.500 0.000 Ta
0.500 0.000 0.000 Ta
0.000 0.000 0.500 Ta
0.500 0.500 0.500 Hg
```

Crystal system: cubic
Space-group type: Pm-3m (221)
Distance to the lowest polymorph of the same formula: 0.00 kcal/mol of atoms

=====

Entry 7:
First-principles (GGA-PBE) data for an optimized crystal structure of TaBeHg2, as listed in Alexandria.

Cell and atoms, written as POSCAR:
```
TaBeHg2
1.0
5.754 0.017 -0.003
3.178 4.797 0.003
-4.054 -3.171 2.572
Hg Be Ta
2 1 1
Direct
0.448 0.448 0.000 Hg
0.052 0.052 0.000 Hg
0.250 0.750 0.500 Be
0.750 0.250 0.500 Ta
```

Crystal system: orthorhombic
Space-group type: Immm (71)

=====

Entry 8:
First-principles (GGA-PBE) data for an optimized crystal structure of TaBeHg2, as listed in Alexandria.

Cell and atoms, written as POSCAR:
```
TaBeHg2
1.0
-1.456 -1.856 -1.849
2.212 0.261 -2.005
3.664 -6.108 3.247
Be Hg Ta
1 2 1
Direct
0.500 0.500 0.741 Be
0.500 0.500 0.264 Hg
0.000 0.000 0.951 Hg
0.000 0.000 0.544 Ta
```

Crystal system: tetragonal
Space-group type: P4mm (99)

=====

Record-wise energy relative to the elements values, in eV per atom: 0.24, 0.46, 0.37, 0.82, 0.24, 0.54, 0.55, 0.32